# 1
A plane-wave DFT calculation with GGA-PBE was carried out for a relaxed structure of MgAlFe2.

Cell: 4.773 4.773 4.773 Å, 133.92 133.92 67.21°
Element x y z (fractional)
Mg 0.000 0.000 0.000
Al 0.250 0.750 0.500
Fe 0.500 0.500 0.000
Fe 0.750 0.250 0.500

## Properties
Space group   No. 119
D(E_F)   2.72 states/eV/cell
Total magnetic moment   4.64 Bohr magnetons per cell
Formation energy from the elements   0.11 eV/f.u.

***

# 2
A plane-wave DFT calculation with GGA-PBE was carried out for a relaxed structure of MgAl2Fe.

Cell: 4.904 4.904 4.904 Å, 133.78 133.78 67.43°
Element x y z (fractional)
Mg 0.000 0.000 0.000
Al 0.250 0.750 0.500
Al 0.500 0.500 0.000
Fe 0.750 0.250 0.500

## Properties
Space group   No. 119
D(E_F)   1.27 states/eV/cell
Total magnetic moment   1.85 Bohr magnetons per cell
Formation energy from the elements   -0.10 eV/f.u.